Crystalline HgSbAu at its relaxed geometry, computed with PBE.

SG ... No. 42
Formation energy without anion corrections ... 0.15 eV per atom
Total magnetization ... 0.000 μB/atom

Lattice parameters (Å, degrees): 6.969 6.788 3.371 78.82 72.86 28.33
Element x y z (fractional)
Au1 0.003 0.003 0.997
Hg1 0.345 0.345 0.655
Sb1 0.652 0.652 0.348